Bi2O3, optimized geometry, DFT PBE; size of the total moment = 0.0 μB/f.u.; ΔE_f (raw) = -1.00 eV per atom
1.0
-5.840 5.840 5.840
5.840 -5.840 5.840
5.840 5.840 -5.840
Bi O
12 18
direct
0.000 0.238 0.484
0.000 0.484 0.238
0.238 0.000 0.484
0.238 0.484 0.000
0.246 0.762 0.762
0.484 0.000 0.238
0.484 0.238 0.000
0.516 0.516 0.754
0.516 0.754 0.516
0.754 0.516 0.516
0.762 0.246 0.762
0.762 0.762 0.246
0.000 0.317 0.317
0.000 0.326 0.795
0.000 0.683 0.683
0.000 0.795 0.326
0.205 0.205 0.531
0.205 0.531 0.205
0.317 0.000 0.317
0.317 0.317 0.000
0.326 0.000 0.795
0.326 0.795 0.000
0.469 0.674 0.674
0.531 0.205 0.205
0.674 0.469 0.674
0.674 0.674 0.469
0.683 0.000 0.683
0.683 0.683 0.000
0.795 0.000 0.326
0.795 0.326 0.000


Ca2AcAgIr, optimized geometry, DFT PBE; formation energy = -108.0 kJ/mol of formula units; size of the total moment = 0.0 μB/f.u.
1.0
5.493 0.000 0.000
0.000 5.493 0.000
0.000 0.000 5.744
Ca Ac Ag Ir
2 1 1 1
direct
0.000 0.500 0.000
0.500 0.000 0.000
0.000 0.000 0.514
0.500 0.500 0.583
0.000 0.000 0.019